Record 1
## MgVCu2O (GGA+U)

Data for a relaxed MgVCu2O crystal.

Values from the calculation:
Its total energy is -21.69 eV for the cell shown. Its mass density is 4.1 g cm⁻³.

CIF file:
```
data_MgVCu2O
_chemical_formula_sum 'Mg1 V1 Cu2 O1'
_symmetry_space_group_name_H-M 'P 1'
_symmetry_Int_Tables_number 1
_cell_length_a 4.957
_cell_length_b 4.957
_cell_length_c 3.615
_cell_angle_alpha 90.00
_cell_angle_beta 90.00
_cell_angle_gamma 90.00
loop_
_symmetry_equiv_pos_as_xyz
'x,y,z'
loop_
_atom_site_label
_atom_site_type_symbol
_atom_site_fract_x
_atom_site_fract_y
_atom_site_fract_z
_atom_site_occupancy
Mg1 Mg 0.000 0.000 0.000 1
V1 V 0.500 0.500 0.500 1
Cu1 Cu 0.000 0.500 0.500 1
Cu2 Cu 0.500 0.000 0.500 1
O1 O 0.500 0.500 0.000 1
```

=====

Record 2
## Mg6VCuO8 (GGA+U)

Data for a relaxed Mg6VCuO8 crystal.

Values from the calculation:
Its total energy is -97.66 eV for the cell shown. Its mass density is 4.1 g cm⁻³.

CIF file:
```
data_Mg6VCuO8
_chemical_formula_sum 'Mg6 V1 Cu1 O8'
_symmetry_space_group_name_H-M 'P 1'
_symmetry_Int_Tables_number 1
_cell_length_a 4.232
_cell_length_b 4.232
_cell_length_c 8.778
_cell_angle_alpha 90.00
_cell_angle_beta 90.00
_cell_angle_gamma 90.00
loop_
_symmetry_equiv_pos_as_xyz
'x,y,z'
loop_
_atom_site_label
_atom_site_type_symbol
_atom_site_fract_x
_atom_site_fract_y
_atom_site_fract_z
_atom_site_occupancy
Mg1 Mg 0.000 0.000 0.000 1
Mg2 Mg 0.000 0.000 0.500 1
Mg3 Mg 0.000 0.500 0.243 1
Mg4 Mg 0.000 0.500 0.757 1
Mg5 Mg 0.500 0.000 0.243 1
Mg6 Mg 0.500 0.000 0.757 1
V1 V 0.500 0.500 0.500 1
Cu1 Cu 0.500 0.500 0.000 1
O1 O 0.000 0.000 0.250 1
O2 O 0.000 0.000 0.750 1
O3 O 0.000 0.500 0.000 1
O4 O 0.000 0.500 0.500 1
O5 O 0.500 0.000 0.000 1
O6 O 0.500 0.000 0.500 1
O7 O 0.500 0.500 0.265 1
O8 O 0.500 0.500 0.735 1
```

=====

Record 3
## Mg2V2CuO8 (GGA+U)

Data for a relaxed Mg2V2CuO8 crystal.

Values from the calculation:
Its total energy is -174.58 eV for the cell shown. Its mass density is 3.8 g cm⁻³.

CIF file:
```
data_Mg2V2CuO8
_chemical_formula_sum 'Mg4 V4 Cu2 O16'
_symmetry_space_group_name_H-M 'P 1'
_symmetry_Int_Tables_number 1
_cell_length_a 6.467
_cell_length_b 8.232
_cell_length_c 6.280
_cell_angle_alpha 90.00
_cell_angle_beta 115.60
_cell_angle_gamma 90.00
loop_
_symmetry_equiv_pos_as_xyz
'x,y,z'
loop_
_atom_site_label
_atom_site_type_symbol
_atom_site_fract_x
_atom_site_fract_y
_atom_site_fract_z
_atom_site_occupancy
Mg1 Mg 0.228 0.249 0.115 1
Mg2 Mg 0.228 0.251 0.615 1
Mg3 Mg 0.772 0.749 0.385 1
Mg4 Mg 0.772 0.751 0.885 1
V1 V 0.258 0.625 0.360 1
V2 V 0.258 0.875 0.860 1
V3 V 0.742 0.125 0.140 1
V4 V 0.742 0.375 0.640 1
Cu1 Cu 0.500 0.000 0.500 1
Cu2 Cu 0.500 0.500 0.000 1
O1 O 0.002 0.229 0.261 1
O2 O 0.002 0.271 0.761 1
O3 O 0.254 0.501 0.574 1
O4 O 0.254 0.999 0.074 1
O5 O 0.276 0.501 0.141 1
O6 O 0.276 0.999 0.641 1
O7 O 0.494 0.238 0.498 1
O8 O 0.494 0.262 0.998 1
O9 O 0.506 0.738 0.002 1
O10 O 0.506 0.762 0.502 1
O11 O 0.724 0.001 0.359 1
O12 O 0.724 0.499 0.859 1
O13 O 0.746 0.001 0.926 1
O14 O 0.746 0.499 0.426 1
O15 O 0.998 0.729 0.239 1
O16 O 0.998 0.771 0.739 1
```

=====

Record 4
## MgV2CuO7 (GGA+U)

Data for a relaxed MgV2CuO7 crystal.

Values from the calculation:
Its total energy is -449.81 eV for the cell shown. Its mass density is 3.4 g cm⁻³.

CIF file:
```
data_MgV2CuO7
_chemical_formula_sum 'Mg6 V12 Cu6 O42'
_symmetry_space_group_name_H-M 'P 1'
_symmetry_Int_Tables_number 1
_cell_length_a 10.249
_cell_length_b 8.377
_cell_length_c 10.280
_cell_angle_alpha 90.00
_cell_angle_beta 95.76
_cell_angle_gamma 90.00
loop_
_symmetry_equiv_pos_as_xyz
'x,y,z'
loop_
_atom_site_label
_atom_site_type_symbol
_atom_site_fract_x
_atom_site_fract_y
_atom_site_fract_z
_atom_site_occupancy
Mg1 Mg 0.000 0.070 0.250 1
Mg2 Mg 0.000 0.930 0.750 1
Mg3 Mg 0.367 0.431 0.922 1
Mg4 Mg 0.367 0.569 0.422 1
Mg5 Mg 0.633 0.431 0.578 1
Mg6 Mg 0.633 0.569 0.078 1
V1 V 0.003 0.276 0.955 1
V2 V 0.003 0.724 0.455 1
V3 V 0.331 0.256 0.622 1
V4 V 0.331 0.744 0.122 1
V5 V 0.333 0.218 0.213 1
V6 V 0.333 0.782 0.713 1
V7 V 0.667 0.218 0.287 1
V8 V 0.667 0.782 0.787 1
V9 V 0.669 0.256 0.878 1
V10 V 0.669 0.744 0.378 1
V11 V 0.997 0.276 0.545 1
V12 V 0.997 0.724 0.045 1
Cu1 Cu 0.000 0.433 0.250 1
Cu2 Cu 0.000 0.567 0.750 1
Cu3 Cu 0.298 0.074 0.911 1
Cu4 Cu 0.298 0.926 0.411 1
Cu5 Cu 0.702 0.074 0.589 1
Cu6 Cu 0.702 0.926 0.089 1
O1 O 0.028 0.262 0.128 1
O2 O 0.028 0.738 0.628 1
O3 O 0.040 0.098 0.890 1
O4 O 0.040 0.902 0.390 1
O5 O 0.085 0.427 0.884 1
O6 O 0.085 0.573 0.384 1
O7 O 0.168 0.321 0.583 1
O8 O 0.168 0.679 0.083 1
O9 O 0.229 0.077 0.275 1
O10 O 0.229 0.923 0.775 1
O11 O 0.308 0.250 0.041 1
O12 O 0.308 0.750 0.541 1
O13 O 0.319 0.395 0.288 1
O14 O 0.319 0.605 0.788 1
O15 O 0.350 0.080 0.544 1
O16 O 0.350 0.920 0.044 1
O17 O 0.351 0.238 0.794 1
O18 O 0.351 0.762 0.294 1
O19 O 0.430 0.404 0.567 1
O20 O 0.430 0.596 0.067 1
O21 O 0.500 0.152 0.250 1
O22 O 0.500 0.848 0.750 1
O23 O 0.570 0.404 0.933 1
O24 O 0.570 0.596 0.433 1
O25 O 0.649 0.238 0.706 1
O26 O 0.649 0.762 0.206 1
O27 O 0.650 0.080 0.956 1
O28 O 0.650 0.920 0.456 1
O29 O 0.681 0.395 0.212 1
O30 O 0.681 0.605 0.712 1
O31 O 0.692 0.250 0.459 1
O32 O 0.692 0.750 0.959 1
O33 O 0.771 0.077 0.225 1
O34 O 0.771 0.923 0.725 1
O35 O 0.832 0.321 0.917 1
O36 O 0.832 0.679 0.417 1
O37 O 0.915 0.427 0.616 1
O38 O 0.915 0.573 0.116 1
O39 O 0.960 0.098 0.610 1
O40 O 0.960 0.902 0.110 1
O41 O 0.972 0.262 0.372 1
O42 O 0.972 0.738 0.872 1
```